{
  "formula": "Ba2CdBiO",
  "functional": "PBE-GGA",
  "state": "optimized geometry",
  "lattice": [[5.485, 0.000, 0.000], [0.000, 5.485, 0.000], [0.000, 0.000, 5.086]],
  "species": ["Ba", "Ba", "Cd", "Bi", "O"],
  "fractional_positions": [[0.000, 0.500, 0.000], [0.500, 0.000, 0.000], [0.000, 0.000, 0.500], [0.500, 0.500, 0.500], [0.000, 0.000, 0.000]],
  "magnetic_moment_mub_per_atom": 0.000,
  "e_tot_ev_per_atom": -3.910,
  "sg": "P4/mmm, No. 123",
  "de_polymorph_mev_per_atom": 13,
  "raw_formation_energy_ev_per_atom": -1.190
}